The following is a GGA-PBEsol calculation of crystalline BeSnTe3 at its relaxed geometry, from Alexandria via LeMat-Bulk.

It has space group Pm-3m (No. 221), with a = 5.594 Å, b = 5.594 Å, c = 5.594 Å, α = 90.00°, β = 90.00° and γ = 90.00°. Symmetry generates all atoms from Be at (0.000, 0.000, 0.000), Sn at (0.500, 0.500, 0.500) and Te at (0.000, 0.500, 0.500).

Its energy relative to the elements, uncorrected is 1.013 eV/atom.

The following is a GGA-PBEsol calculation of crystalline LaIn2Fe at its relaxed geometry, from Alexandria via LeMat-Bulk.

It has space group P4/mmm (No. 123), with a = 3.301 Å, b = 3.301 Å, c = 7.810 Å, α = 90.00°, β = 90.00° and γ = 90.00°. Symmetry generates all atoms from La at (0.000, 0.000, 0.000), In at (0.500, 0.500, 0.309) and Fe at (0.000, 0.000, 0.500).

As for the formation energy: -0.07 eV/atom.

The following is a GGA-PBEsol calculation of crystalline YGe3 at its relaxed geometry, from Alexandria via LeMat-Bulk.

It has space group Cmcm (No. 63), with a = 3.989 Å, b = 20.684 Å, c = 3.870 Å, α = 90.00°, β = 90.00° and γ = 90.00°. Symmetry generates all atoms from Y at (0.000, 0.082, 0.250), Ge at (0.000, 0.191, 0.750), Ge at (0.000, 0.311, 0.750) and Ge at (0.000, 0.461, 0.250).

As for the formation energy: -0.53 eV/atom.

The following is a GGA-PBEsol calculation of crystalline Hf2SiHg at its relaxed geometry, from Alexandria via LeMat-Bulk.

It has space group Fm-3m (No. 225), with a = 6.686 Å, b = 6.686 Å, c = 6.686 Å, α = 90.00°, β = 90.00° and γ = 90.00°. Symmetry generates all atoms from Hf at (0.250, 0.250, 0.250), Si at (0.000, 0.000, 0.000) and Hg at (0.000, 0.000, 0.500).

Its energy relative to the elements, uncorrected is -0.187 eV/atom.

The following is a GGA-PBEsol calculation of crystalline YCoC at its relaxed geometry, from Alexandria via LeMat-Bulk.

It has space group P4/mmm (No. 123), with a = 3.512 Å, b = 3.512 Å, c = 3.573 Å, α = 90.00°, β = 90.00° and γ = 90.00°. Symmetry generates all atoms from Y at (0.000, 0.000, 0.000), Co at (0.500, 0.500, 0.500) and C at (0.500, 0.500, 0.000).

As for the formation energy: -0.30 eV/atom. The calculation puts the energy relative to the lowest polymorph listed for this composition at 55 meV/atom.

The following is a GGA-PBEsol calculation of crystalline CsPbI3 at its relaxed geometry, from Alexandria via LeMat-Bulk.

It has space group Pm-3m (No. 221), with a = 6.231 Å, b = 6.231 Å, c = 6.231 Å, α = 90.00°, β = 90.00° and γ = 90.00°. Symmetry generates all atoms from Cs at (0.000, 0.000, 0.000), Pb at (0.500, 0.500, 0.500) and I at (0.000, 0.500, 0.500).

Its energy relative to the elements, uncorrected is -0.962 eV/atom.

The following is a GGA-PBEsol calculation of crystalline MgSiBr2 at its relaxed geometry, from Alexandria via LeMat-Bulk.

It has space group P4mm (No. 99), with a = 3.305 Å, b = 3.305 Å, c = 8.182 Å, α = 90.00°, β = 90.00° and γ = 90.00°. Symmetry generates all atoms from Mg at (0.000, 0.000, 0.000), Si at (0.500, 0.500, 0.217), Br at (0.000, 0.000, 0.427) and Br at (0.500, 0.500, 0.817).

Its energy relative to the elements, uncorrected is -0.294 eV/atom. The calculation puts the energy relative to the lowest polymorph listed for this composition at 28 meV/atom.

The following is a GGA-PBEsol calculation of crystalline Tb3P4Pd7 at its relaxed geometry, from Alexandria via LeMat-Bulk.

It has space group C2/m (No. 12), with a = 15.170 Å, b = 3.948 Å, c = 9.283 Å, α = 90.00°, β = 125.57° and γ = 90.00°. Symmetry generates all atoms from Tb at (0.000, 0.000, 0.000), Tb at (0.180, 0.500, 0.677), P at (0.106, 0.000, 0.821), P at (0.160, 0.500, 0.255), Pd at (0.000, 0.000, 0.500), Pd at (0.010, 0.500, 0.285), Pd at (0.168, 0.000, 0.422) and Pd at (0.194, 0.500, 0.028).

As for the formation energy: -1.06 eV/atom.